## MgBeF (PBE-GGA)

Data for an optimized crystal structure of MgBeF.

Summary:
Formation energy without anion corrections = -1.322 eV per atom

Cell lengths 2.9352, 4.6376, 6.6450 Å; angles 71.58, 80.55, 82.70 degrees
Closest atoms and distances in Å follow each position.
Element x y z (fractional)
Be (0.1232, 0.6784, 0.6960)  2 Be 2.27-2.34
Be (0.7165, 0.8378, 0.4131)  2 F 1.56-1.61
Mg (0.4981, 0.5528, 0.0497)  3 F 1.99-2.08
Mg (0.6530, 0.2037, 0.6769)  4 Be 2.55-2.79, 1 F 2.60
F (0.9019, 0.7097, 0.2139)  1 Be 1.61
F (0.6014, 0.1824, 0.2944)  1 Be 1.56

## HfZr2PbO (PBE-GGA)

Data for an optimized crystal structure of HfZr2PbO.

Summary:
Formation energy without anion corrections = -0.979 eV per atom

Cell lengths 4.7309, 4.7309, 4.2055 Å; angles 90.00, 90.00, 90.00 degrees
Closest atoms and distances in Å follow each position.
Element x y z (fractional)
Pb (0.5000, 0.5000, 0.5000)  8 Zr 3.16, 4 Hf 3.35
Hf (0.0000, 0.0000, 0.5000)  2 O 2.10
O (0.0000, 0.0000, 0.0000)  2 Hf 2.10
Zr (0.0000, 0.5000, 0.0000)  2 O 2.37
Zr (0.5000, 0.0000, 0.0000)  2 O 2.37

## TbEr2Ag6 (PBE-GGA)

Data for an optimized crystal structure of TbEr2Ag6.

Summary:
Energy = -0.268 Ry/atom

Cell lengths 5.2892, 8.8591, 8.8591 Å; angles 75.56, 81.66, 81.66 degrees
Closest atoms and distances in Å follow each position.
Element x y z (fractional)
Tb (0.2500, 0.1255, 0.8745)  10 Ag 3.05-3.15
Tb (0.7500, 0.8745, 0.1255)  10 Ag 3.05-3.15
Er (0.4154, 0.5421, 0.7915)  10 Ag 3.03-3.11
Er (0.0846, 0.2085, 0.4579)  10 Ag 3.03-3.11
Er (0.5846, 0.4579, 0.2085)  10 Ag 3.03-3.11
Er (0.9154, 0.7915, 0.5421)  10 Ag 3.03-3.11
Ag (0.4721, 0.6783, 0.4325)  5 Ag 3.04-3.12, 4 Er 3.04-3.09, 1 Tb 3.13
Ag (0.0279, 0.5675, 0.3217)  5 Ag 3.04-3.12, 4 Er 3.04-3.09, 1 Tb 3.13
Ag (0.5279, 0.3217, 0.5675)  5 Ag 3.04-3.12, 4 Er 3.04-3.09, 1 Tb 3.13
Ag (0.9721, 0.4325, 0.6783)  5 Ag 3.04-3.12, 4 Er 3.04-3.09, 1 Tb 3.13
Ag (0.6412, 0.0988, 0.3491)  4 Er 3.03-3.11, 5 Ag 3.04-3.14, 1 Tb 3.08
Ag (0.8588, 0.6509, 0.9012)  4 Er 3.03-3.11, 5 Ag 3.04-3.14, 1 Tb 3.08
Ag (0.3588, 0.9012, 0.6509)  4 Er 3.03-3.11, 5 Ag 3.04-3.14, 1 Tb 3.08
Ag (0.1412, 0.3491, 0.0988)  4 Er 3.03-3.11, 5 Ag 3.04-3.14, 1 Tb 3.08
Ag (0.3070, 0.7606, 0.0148)  2 Er 3.04-3.10, 5 Ag 3.05-3.14, 3 Tb 3.05-3.15
Ag (0.1930, 0.9852, 0.2394)  2 Er 3.04-3.10, 5 Ag 3.05-3.14, 3 Tb 3.05-3.15
Ag (0.6930, 0.2394, 0.9852)  2 Er 3.04-3.10, 5 Ag 3.05-3.14, 3 Tb 3.05-3.15
Ag (0.8070, 0.0148, 0.7606)  2 Er 3.04-3.10, 5 Ag 3.05-3.14, 3 Tb 3.05-3.15

## Sr2NiSn8 (PBE-GGA)

Data for an optimized crystal structure of Sr2NiSn8.

Summary:
Energy = -0.297 Ry/atom

Cell lengths 4.7740, 4.7740, 12.9357 Å; angles 90.00, 90.00, 90.00 degrees
Closest atoms and distances in Å follow each position.
Element x y z (fractional)
Sr (0.0000, 0.0000, 0.3057)  12 Sn 3.38-3.47
Sr (0.0000, 0.0000, 0.6943)  12 Sn 3.38-3.47
Ni (0.0000, 0.0000, 0.0000)  8 Sn 2.82
Sn (0.0000, 0.5000, 0.5000)  8 Sn 3.38-3.41, 4 Sr 3.47
Sn (0.5000, 0.0000, 0.5000)  8 Sn 3.38-3.41, 4 Sr 3.47
Sn (0.5000, 0.5000, 0.3114)  4 Sr 3.38, 8 Sn 3.41-3.48
Sn (0.5000, 0.5000, 0.6886)  4 Sr 3.38, 8 Sn 3.41-3.48
Sn (0.0000, 0.5000, 0.1159)  2 Ni 2.82, 1 Sn 3.00
Sn (0.5000, 0.0000, 0.1159)  2 Ni 2.82, 1 Sn 3.00
Sn (0.0000, 0.5000, 0.8841)  2 Ni 2.82, 1 Sn 3.00
Sn (0.5000, 0.0000, 0.8841)  2 Ni 2.82, 1 Sn 3.00

## SmDyEr3 (PBE-GGA)

Data for an optimized crystal structure of SmDyEr3.

Summary:
Energy = -0.338 Ry/atom

Cell lengths 9.5605, 5.6119, 6.2598 Å; angles 90.00, 109.11, 90.00 degrees
Closest atoms and distances in Å follow each position.
Element x y z (fractional)
Sm (0.1999, 0.4500, 0.4324)  10 Er 3.50-3.63, 2 Dy 3.61-3.62
Sm (0.8001, 0.9500, 0.5676)  10 Er 3.50-3.63, 2 Dy 3.61-3.62
Dy (0.5999, 0.9500, 0.9664)  8 Er 3.49-3.62, 2 Dy 3.50, 2 Sm 3.61-3.62
Dy (0.4001, 0.4500, 0.0336)  8 Er 3.49-3.62, 2 Dy 3.50, 2 Sm 3.61-3.62
Er (0.2003, 0.9500, 0.7669)  3 Dy 3.50-3.61, 6 Er 3.50-3.63, 3 Sm 3.50-3.62
Er (0.0006, 0.4501, 0.8354)  7 Er 3.48-3.63, 4 Sm 3.50-3.63, 1 Dy 3.61
Er (0.5992, 0.4499, 0.6342)  4 Dy 3.49-3.62, 5 Er 3.49-3.63, 3 Sm 3.50-3.61
Er (0.4008, 0.9499, 0.3658)  4 Dy 3.49-3.62, 5 Er 3.49-3.63, 3 Sm 3.50-3.61
Er (0.9994, 0.9501, 0.1646)  7 Er 3.48-3.63, 4 Sm 3.50-3.63, 1 Dy 3.61
Er (0.7997, 0.4500, 0.2331)  3 Dy 3.50-3.61, 6 Er 3.50-3.63, 3 Sm 3.50-3.62

## Li2ZrAgO (PBE-GGA)

Data for an optimized crystal structure of Li2ZrAgO.

Summary:
Formation energy without anion corrections = -0.980 eV per atom

Cell lengths 4.1972, 4.1972, 4.2924 Å; angles 90.00, 90.00, 90.00 degrees
Closest atoms and distances in Å follow each position.
Element x y z (fractional)
O (0.0000, 0.0000, 0.0000)  4 Li 2.10, 2 Zr 2.15
Zr (0.0000, 0.0000, 0.5000)  2 O 2.15
Ag (0.5000, 0.5000, 0.5000)  4 Zr 2.97, 8 Li 3.00
Li (0.0000, 0.5000, 0.0000)  2 O 2.10
Li (0.5000, 0.0000, 0.0000)  2 O 2.10

## DyTm2Mg2 (PBE-GGA)

Data for an optimized crystal structure of DyTm2Mg2.

Summary:
Energy = -0.250 Ry/atom

Cell lengths 3.6715, 5.3990, 13.9956 Å; angles 90.00, 97.52, 90.00 degrees
Closest atoms and distances in Å follow each position.
Element x y z (fractional)
Dy (0.8476, 0.7500, 0.6948)  6 Mg 3.28-3.30, 4 Tm 3.56-3.58, 2 Dy 3.67
Dy (0.1524, 0.2500, 0.3052)  6 Mg 3.28-3.30, 4 Tm 3.56-3.58, 2 Dy 3.67
Tm (0.0436, 0.7500, 0.0870)  8 Mg 3.24-3.28, 2 Tm 3.62
Tm (0.9564, 0.2500, 0.9130)  8 Mg 3.24-3.28, 2 Tm 3.62
Tm (0.2371, 0.7500, 0.4747)  2 Mg 3.27, 4 Tm 3.34, 4 Dy 3.56-3.58
Tm (0.7629, 0.2500, 0.5253)  2 Mg 3.27, 4 Tm 3.34, 4 Dy 3.56-3.58
Mg (0.6392, 0.7500, 0.2794)  4 Tm 3.24-3.27, 4 Dy 3.28, 2 Mg 3.60
Mg (0.3608, 0.2500, 0.7206)  4 Tm 3.24-3.27, 4 Dy 3.28, 2 Mg 3.60
Mg (0.4462, 0.7500, 0.8924)  6 Tm 3.27-3.28, 2 Dy 3.30, 2 Mg 3.60
Mg (0.5538, 0.2500, 0.1076)  6 Tm 3.27-3.28, 2 Dy 3.30, 2 Mg 3.60

## NaLaNpO6 (PBE-GGA)

Data for an optimized crystal structure of NaLaNpO6.

Summary:
Formation energy without anion corrections = -2.473 eV per atom

Cell lengths 5.7201, 5.7201, 10.0057 Å; angles 90.00, 90.00, 120.00 degrees
Closest atoms and distances in Å follow each position.
Element x y z (fractional)
Na (0.3333, 0.6667, 0.2500)  6 O 2.37
Na (0.6667, 0.3333, 0.7500)  6 O 2.37
La (0.0000, 0.0000, 0.0000)  6 O 2.43
La (0.0000, 0.0000, 0.5000)  6 O 2.43
Np (0.6667, 0.3333, 0.2500)  6 O 2.00
Np (0.3333, 0.6667, 0.7500)  6 O 2.00
O (0.6759, 0.6263, 0.1368)  1 Np 2.00
O (0.9504, 0.3241, 0.1368)  1 Np 2.00
O (0.3241, 0.9504, 0.6368)  1 Np 2.00
O (0.0496, 0.6759, 0.8632)  1 Np 2.00
O (0.3737, 0.3241, 0.3632)  1 Np 2.00
O (0.9504, 0.6263, 0.3632)  1 Np 2.00
O (0.6263, 0.9504, 0.8632)  1 Np 2.00
O (0.6759, 0.0496, 0.3632)  1 Np 2.00
O (0.0496, 0.3737, 0.6368)  1 Np 2.00
O (0.3737, 0.0496, 0.1368)  1 Np 2.00
O (0.6263, 0.6759, 0.6368)  1 Np 2.00
O (0.3241, 0.3737, 0.8632)  1 Np 2.00